[1]
PBE-GGA La2ScCrPd, relaxed; total magnetization = 0.10 μB/f.u.; total energy = -5.55 eV per atom; density of states at the Fermi level = 1.917 states/eV per atom; symmetry = P4/mmm; energy relative to the elements = 315.1 kJ/mol of formula units
1.0
-3.985 2.215 -3.280
0.120 -4.089 -2.907
-3.955 -2.387 3.194
Sc Cr Pd La
1 1 1 2
Direct
0.000 0.500 0.000
0.500 0.500 0.500
0.000 0.000 0.000
0.000 0.000 0.500
0.500 0.000 0.000


[2]
PBE-GGA LaCr2Pt, relaxed; total magnetization = 0.01 μB/f.u.; total energy = -7.66 eV per atom; density of states at the Fermi level = 0.631 states/eV per atom; symmetry = R3m; energy relative to the elements = -39.4 kJ/mol of formula units
1.0
-1.651 -1.801 -3.463
0.089 -4.214 -0.443
-5.340 -2.367 1.184
Cr La Pt
2 1 1
Direct
0.020 0.020 0.939
0.696 0.696 0.912
0.500 0.500 0.501
0.284 0.284 0.148


[3]
PBE-GGA LaCr2Pt, relaxed; total magnetization = 8.96 μB/f.u.; total energy = -7.35 eV per atom; density of states at the Fermi level = 0.475 states/eV per atom; symmetry = Immm; energy relative to the elements = 79.8 kJ/mol of formula units
1.0
-1.039 -2.628 -4.442
2.663 -4.539 0.142
-3.399 2.316 3.287
Cr La Pt
2 1 1
Direct
0.013 0.013 0.000
0.487 0.487 0.000
0.750 0.250 0.500
0.250 0.750 0.500


[4]
PBE-GGA LaCr2Pt, relaxed; total magnetization = 1.27 μB/f.u.; total energy = -7.23 eV per atom; density of states at the Fermi level = 1.558 states/eV per atom; symmetry = P4/mmm; energy relative to the elements = 124.2 kJ/mol of formula units
1.0
-0.124 1.967 2.864
-0.268 -2.863 1.955
6.517 -0.285 0.478
Cr La Pt
2 1 1
Direct
0.000 0.000 0.898
0.000 0.000 0.602
0.500 0.500 0.250
0.500 0.500 0.750


[5]
PBE-GGA LaCr2Pt, relaxed; total magnetization = 8.18 μB/f.u.; total energy = -7.40 eV per atom; density of states at the Fermi level = 0.913 states/eV per atom; symmetry = P4/mmm; energy relative to the elements = 59.6 kJ/mol of formula units
1.0
4.205 0.000 0.000
0.000 4.212 0.000
0.000 0.000 4.539
Cr La Pt
2 1 1
Direct
0.000 0.000 0.000
0.500 0.500 0.000
0.500 0.000 0.500
0.000 0.500 0.500


[6]
PBE-GGA LaCr4Pt, relaxed; total magnetization = 0.00 μB/f.u.; total energy = -7.86 eV per atom; density of states at the Fermi level = 1.327 states/eV per atom; symmetry = F-43m; energy relative to the elements = 223.6 kJ/mol of formula units
1.0
-2.313 -0.186 4.513
-5.067 -0.098 0.252
-2.386 -4.235 1.456
La Cr Pt
1 4 1
Direct
0.750 0.750 0.750
0.876 0.375 0.375
0.375 0.375 0.876
0.375 0.876 0.375
0.375 0.375 0.375
0.000 0.000 0.000


[7]
PBE-GGA LaCrPt, relaxed; total magnetization = 4.87 μB/f.u.; total energy = -6.52 eV per atom; density of states at the Fermi level = 0.577 states/eV per atom; symmetry = F-43m; energy relative to the elements = 100.4 kJ/mol of formula units
1.0
-4.113 0.909 2.384
-4.245 -0.258 -2.311
-3.076 -3.606 0.983
Cr La Pt
1 1 1
Direct
0.500 0.500 0.500
0.250 0.250 0.250
0.000 0.000 0.000


[8]
PBE-GGA LaCr2Pt, relaxed; total magnetization = 0.00 μB/f.u.; total energy = -7.24 eV per atom; density of states at the Fermi level = 1.240 states/eV per atom; symmetry = I4_1/amd; energy relative to the elements = 122.0 kJ/mol of formula units
1.0
4.253 0.000 0.000
0.000 4.253 0.000
2.126 2.126 9.451
Cr Pt La
4 2 2
Direct
0.875 0.125 0.250
0.875 0.625 0.250
0.375 0.125 0.750
0.875 0.125 0.750
0.000 0.000 0.000
0.750 0.250 0.500
0.500 0.500 0.000
0.250 0.750 0.500


[9]
PBE-GGA LaCrPt, relaxed; total magnetization = 4.64 μB/f.u.; total energy = -7.08 eV per atom; density of states at the Fermi level = 0.480 states/eV per atom; symmetry = F-43m; energy relative to the elements = -62.9 kJ/mol of formula units
1.0
4.787 0.000 0.000
2.393 4.145 0.000
2.393 1.382 3.908
Cr La Pt
1 1 1
Direct
0.000 0.000 0.000
0.500 0.500 0.500
0.250 0.250 0.250


[10]
PBE-GGA LaCr2Pt, relaxed; total magnetization = 0.39 μB/f.u.; total energy = -7.54 eV per atom; density of states at the Fermi level = 0.798 states/eV per atom; symmetry = P4mm; energy relative to the elements = 4.9 kJ/mol of formula units
1.0
-2.736 -0.878 -1.685
-1.594 -0.548 2.874
-2.170 6.640 0.063
Cr La Pt
2 1 1
Direct
0.000 0.000 0.023
0.500 0.500 0.171
0.000 0.000 0.517
0.500 0.500 0.789


[11]
PBE-GGA LaCr2Pt, relaxed; total magnetization = 0.00 μB/f.u.; total energy = -7.08 eV per atom; density of states at the Fermi level = 2.523 states/eV per atom; symmetry = Fm-3m; energy relative to the elements = 181.7 kJ/mol of formula units
1.0
0.374 -4.195 1.666
-2.317 -3.402 -1.889
2.182 -3.188 -2.363
Cr Pt La
2 1 1
Direct
0.250 0.250 0.250
0.750 0.750 0.750
0.500 0.500 0.500
0.000 0.000 0.000


[12]
PBE-GGA LaCr2Pt, relaxed; total magnetization = 1.37 μB/f.u.; total energy = -7.15 eV per atom; density of states at the Fermi level = 1.276 states/eV per atom; symmetry = R3m; energy relative to the elements = 155.8 kJ/mol of formula units
1.0
9.316 0.009 0.005
8.835 2.952 0.005
8.835 1.441 2.576
Cr La Pt
2 1 1
Direct
0.993 0.993 0.993
0.271 0.271 0.271
0.501 0.501 0.501
0.736 0.736 0.736


[13]
PBE-GGA LaCr2Pt2, relaxed; total magnetization = 0.00 μB/f.u.; total energy = -7.47 eV per atom; density of states at the Fermi level = 1.221 states/eV per atom; symmetry = I4/mmm; energy relative to the elements = -106.9 kJ/mol of formula units
1.0
-1.667 0.830 -4.139
4.107 -0.709 -1.796
0.247 -4.336 -3.457
Cr Pt La
2 2 1
Direct
0.400 0.400 0.200
0.600 0.600 0.800
0.750 0.250 0.500
0.250 0.750 0.500
0.000 0.000 0.000


[14]
PBE-GGA LaCrPt, relaxed; total magnetization = 3.14 μB/f.u.; total energy = -7.24 eV per atom; density of states at the Fermi level = 1.007 states/eV per atom; symmetry = P-6m2; energy relative to the elements = -108.4 kJ/mol of formula units
1.0
-0.663 3.815 -2.042
-1.754 -0.702 3.948
3.426 1.558 1.799
Cr La Pt
1 1 1
Direct
0.000 0.000 0.833
0.333 0.667 0.333
0.667 0.333 0.834


[15]
PBE-GGA LaCr2Pt, relaxed; total magnetization = 0.00 μB/f.u.; total energy = -7.26 eV per atom; density of states at the Fermi level = 1.198 states/eV per atom; symmetry = P2/m; energy relative to the elements = 114.0 kJ/mol of formula units
1.0
4.297 0.000 0.000
0.000 2.816 -0.258
0.000 0.568 6.073
Cr La Pt
2 1 1
Direct
0.000 0.249 0.904
0.000 0.251 0.596
0.500 0.250 0.250
0.500 0.750 0.750


[16]
PBE-GGA LaCrPt, relaxed; total magnetization = 4.31 μB/f.u.; total energy = -7.03 eV per atom; density of states at the Fermi level = 1.123 states/eV per atom; symmetry = Imm2; energy relative to the elements = -46.7 kJ/mol of formula units
1.0
5.711 -0.245 -0.300
3.666 4.386 0.300
-4.557 -2.367 2.528
Cr La Pt
1 1 1
Direct
0.037 0.037 0.000
0.324 0.324 0.000
0.639 0.639 0.000


[17]
PBE-GGA LaCr2Pt, relaxed; total magnetization = 0.63 μB/f.u.; total energy = -7.51 eV per atom; density of states at the Fermi level = 0.816 states/eV per atom; symmetry = Imm2; energy relative to the elements = 17.3 kJ/mol of formula units
1.0
-2.649 4.269 -0.014
-2.446 -0.322 -4.377
0.151 -3.461 3.638
Cr La Pt
2 1 1
Direct
0.000 0.000 0.000
0.750 0.250 0.500
0.500 0.500 0.000
0.250 0.750 0.500


[18]
PBE-GGA LaCr2Pt2, relaxed; total magnetization = 0.00 μB/f.u.; total energy = -7.39 eV per atom; density of states at the Fermi level = 1.463 states/eV per atom; symmetry = I4/mmm; energy relative to the elements = -68.8 kJ/mol of formula units
1.0
3.843 0.000 0.000
0.000 3.843 0.000
1.922 1.922 6.215
Cr Pt La
2 2 1
Direct
0.750 0.250 0.500
0.250 0.750 0.500
0.388 0.388 0.225
0.612 0.612 0.775
0.000 0.000 0.000


[19]
PBE-GGA LaCr2Pt, relaxed; total magnetization = 0.00 μB/f.u.; total energy = -7.41 eV per atom; density of states at the Fermi level = 1.084 states/eV per atom; symmetry = C2/m; energy relative to the elements = 56.3 kJ/mol of formula units
1.0
-0.419 4.594 1.979
-2.002 4.547 -0.713
-4.634 -0.282 2.730
Cr La Pt
2 1 1
Direct
0.978 0.978 0.128
0.522 0.522 0.372
0.750 0.750 0.750
0.250 0.250 0.250


[20]
PBE-GGA LaCrRuPt2, relaxed; total magnetization = 0.00 μB/f.u.; total energy = -7.21 eV per atom; density of states at the Fermi level = 1.098 states/eV per atom; symmetry = P4/mmm; energy relative to the elements = -13.1 kJ/mol of formula units
1.0
4.780 0.000 0.000
0.000 4.412 0.000
0.000 0.000 4.780
Ru Cr Pt La
1 1 2 1
Direct
0.000 0.500 0.000
0.000 0.000 0.000
0.000 0.000 0.500
0.500 0.000 0.000
0.500 0.500 0.500